Below is Dy3Al2Ge3 after structural relaxation, with properties calculated at the GGA-PBE level.

abc: 4.173 5.955 14.496
angles: 90.00 90.00 110.51
Element x y z (fractional)
Al1 0.776 0.553 0.896
Al2 0.776 0.553 0.604
Al3 0.224 0.447 0.104
Al4 0.224 0.447 0.396
Ge1 0.383 0.767 0.540
Ge2 0.617 0.233 0.040
Ge3 0.632 0.264 0.750
Ge4 0.368 0.736 0.250
Ge5 0.617 0.233 0.460
Ge6 0.383 0.767 0.960
Dy1 0.061 0.122 0.885
Dy2 0.648 0.296 0.250
Dy3 0.352 0.704 0.750
Dy4 0.061 0.122 0.615
Dy5 0.939 0.878 0.115
Dy6 0.939 0.878 0.385

- M_tot (Bohr magnetons per cell) = 0.000
- uncorrected energy (eV for the cell shown) = -80.9